1.
The following is a DFT calculation (PBE) of CaTl5In after structural relaxation.

Lattice parameters (Å, degrees): 5.9621 8.0585 8.0585 65.15 68.29 68.29
Atoms (fractional coordinates):
Tl: 0.7429 0.2571 0.2571
Tl: 0.5000 0.1713 0.8287
In: 0.5000 0.5000 0.5000
Tl: 0.5000 0.8287 0.1713
Ca: 0.0000 0.0000 0.0000
Tl: 0.0000 0.5000 0.5000
Tl: 0.2571 0.7429 0.7429

The space group is Immm, No. 71. The calculation puts the mass density at 6.2 Mg/m³. The value obtained for the total energy is -2.069 eV/atom. For the formation energy, the calculation gives 0.30 eV/atom.

---

2.
The following is a DFT calculation (PBE) of Hg6Pd after structural relaxation.

Lattice parameters (Å, degrees): 7.0878 7.0878 7.0878 109.47 109.47 109.47
Atoms (fractional coordinates):
Hg: 0.7500 0.2500 0.5000
Hg: 0.2500 0.7500 0.5000
Hg: 0.2500 0.5000 0.7500
Pd: 0.0000 0.0000 0.0000
Hg: 0.5000 0.2500 0.7500
Hg: 0.5000 0.7500 0.2500
Hg: 0.7500 0.5000 0.2500

The space group is Im-3m, No. 229. The calculation puts the mass density at 7.9 Mg/m³. The value obtained for the total energy is -0.432 eV/atom. For the formation energy, the calculation gives 0.57 eV/atom.

---

3.
The following is a DFT calculation (PBE) of Tb2ZrS4 after structural relaxation.

Lattice parameters (Å, degrees): 3.8951 6.9760 7.3174 119.60 105.44 90.00
Atoms (fractional coordinates):
S: 0.8837 0.1930 0.7674
Tb: 0.7297 0.7402 0.4594
Tb: 0.2703 0.2598 0.5406
S: 0.3707 0.7290 0.7414
S: 0.1163 0.8070 0.2326
Zr: 0.0000 0.0000 0.0000
S: 0.6293 0.2710 0.2586

The space group is C2/m, No. 12. The calculation puts the formation energy (no corrections) at -1.82 eV/atom. The calculation puts the mass density at 5.4 Mg/m³. The value obtained for the total energy is -6.727 eV/atom.

---

4.
The following is a DFT calculation (PBE) of Er2Be4Ir5 after structural relaxation.

Lattice parameters (Å, degrees): 5.6650 5.4642 6.8206 77.57 65.46 58.78
Atoms (fractional coordinates):
Be: 0.2097 0.3154 0.2651
Be: 0.4749 0.3154 0.7349
Ir: 0.2500 0.5000 0.5000
Er: 0.1352 0.0000 0.7297
Ir: 0.0000 0.5000 0.0000
Er: 0.8648 0.0000 0.2703
Be: 0.5251 0.6846 0.2651
Be: 0.7903 0.6846 0.7349
Ir: 0.5000 0.5000 0.0000
Ir: 0.5000 0.0000 0.0000
Ir: 0.7500 0.5000 0.5000

The space group is Fmmm, No. 69. The calculation puts the mass density at 13.5 Mg/m³. The value obtained for the total energy is -6.867 eV/atom. For the formation energy, the calculation gives -0.66 eV/atom.

---

5.
The following is a DFT calculation (PBE) of Zn2AgCl after structural relaxation.

Lattice parameters (Å, degrees): 5.4860 5.4860 5.4860 146.29 111.13 78.91
Atoms (fractional coordinates):
Cl: 0.2500 0.7500 0.5000
Zn: 0.0016 0.0016 0.0000
Zn: 0.4984 0.4984 0.0000
Ag: 0.7500 0.2500 0.5000

The space group is Immm, No. 71. The calculation puts the formation energy (no corrections) at -0.04 eV/atom. The calculation puts the mass density at 5.4 Mg/m³. The value obtained for the total energy is -1.850 eV/atom. As for the energy above the most stable polymorph in this dataset: 0.134 eV/atom.

---

6.
The following is a DFT calculation (PBE) of Tb2Sm2Tm15 after structural relaxation.

Lattice parameters (Å, degrees): 8.6354 8.6354 8.6354 80.25 80.25 80.25
Atoms (fractional coordinates):
Tm: 0.5000 0.0000 0.0000
Tm: 0.0000 0.0000 0.5000
Tm: 0.0000 0.6985 0.3015
Tm: 0.6985 0.3015 0.0000
Tm: 0.0000 0.5000 0.0000
Tm: 0.3015 0.6985 0.0000
Tm: 0.1490 0.6351 0.6351
Tm: 0.6351 0.1490 0.6351
Tm: 0.3649 0.8510 0.3649
Tm: 0.8510 0.3649 0.3649
Sm: 0.3286 0.3286 0.3286
Sm: 0.6714 0.6714 0.6714
Tm: 0.6985 0.0000 0.3015
Tb: 0.8922 0.8922 0.8922
Tb: 0.1078 0.1078 0.1078
Tm: 0.0000 0.3015 0.6985
Tm: 0.3649 0.3649 0.8510
Tm: 0.6351 0.6351 0.1490
Tm: 0.3015 0.0000 0.6985

The space group is R-3m, No. 166. The calculation puts the mass density at 8.5 Mg/m³. The value obtained for the total energy is -4.228 eV/atom. For the formation energy, the calculation gives 0.29 eV/atom.

---

7.
The following is a DFT calculation (PBE) of Rb3I7 after structural relaxation.

Lattice parameters (Å, degrees): 8.9628 8.9628 9.8254 62.86 62.86 90.00
Atoms (fractional coordinates):
I: 0.2284 0.7716 0.0000
Rb: 0.7500 0.2500 0.5000
I: 0.2284 0.2284 0.0000
I: 0.7716 0.2284 0.0000
Rb: 0.5000 0.5000 0.0000
I: 0.2678 0.2678 0.4644
Rb: 0.2500 0.7500 0.5000
I: 0.0000 0.0000 0.0000
I: 0.7716 0.7716 0.0000
I: 0.7322 0.7322 0.5356

The space group is I4/mmm, No. 139. The calculation puts the formation energy (no corrections) at -0.69 eV/atom. The calculation puts the mass density at 3.2 Mg/m³. The value obtained for the total energy is -2.068 eV/atom.

---

8.
The following is a DFT calculation (PBE) of La2Ge5Rh after structural relaxation.

Lattice parameters (Å, degrees): 6.3727 6.3727 6.3727 87.69 121.34 121.34
Atoms (fractional coordinates):
Ge: 0.0000 0.2755 0.7070
La: 0.5000 0.2321 0.7321
Ge: 0.0000 0.2805 0.2805
Ge: 0.4316 0.7070 0.7070
Rh: 0.0000 0.0123 0.0123
La: 0.5000 0.7321 0.2321
Ge: 0.5684 0.2755 0.2755
Ge: 0.0000 0.7070 0.2755

The space group is I4mm, No. 107. The calculation puts the mass density at 6.9 Mg/m³. The value obtained for the total energy is -5.617 eV/atom. For the formation energy, the calculation gives -0.58 eV/atom.

---

9.
The following is a DFT calculation (PBE) of Ca2GaNiN after structural relaxation.

Lattice parameters (Å, degrees): 5.0475 5.0475 3.6319 90.00 90.00 90.00
Atoms (fractional coordinates):
N: 0.0000 0.0000 0.0000
Ca: 0.5000 0.0000 0.0000
Ga: 0.5000 0.5000 0.5000
Ca: 0.0000 0.5000 0.0000
Ni: 0.0000 0.0000 0.5000

The space group is P4/mmm, No. 123. The calculation puts the formation energy (no corrections) at -0.48 eV/atom. The calculation puts the mass density at 4.0 Mg/m³. The value obtained for the total energy is -4.705 eV/atom.

---

10.
The following is a DFT calculation (PBE) of EuNbPd2 after structural relaxation.

Lattice parameters (Å, degrees): 3.3211 3.3211 7.3781 90.00 90.00 90.00
Atoms (fractional coordinates):
Pd: 0.0000 0.0000 0.8026
Eu: 0.5000 0.5000 0.5000
Nb: 0.5000 0.5000 0.0000
Pd: 0.0000 0.0000 0.1974

The space group is P4/mmm, No. 123. The calculation puts the mass density at 9.3 Mg/m³. The value obtained for the total energy is -7.977 eV/atom. For the formation energy, the calculation gives -0.29 eV/atom.

---

11.
The following is a DFT calculation (PBE) of Co2ReRu after structural relaxation.

Lattice parameters (Å, degrees): 4.3435 4.3435 2.6928 90.00 90.00 90.00
Atoms (fractional coordinates):
Re: 0.5000 0.0000 0.5000
Ru: 0.0000 0.5000 0.5000
Co: 0.0000 0.0000 0.0000
Co: 0.5000 0.5000 0.0000

The space group is P4/mmm, No. 123. The calculation puts the mass density at 13.2 Mg/m³. The value obtained for the total energy is -8.687 eV/atom. For the formation energy, the calculation gives 0.30 eV/atom. As for the energy above the most stable polymorph in this dataset: 0.244 eV/atom.

---

12.
The following is a DFT calculation (PBE) of Dy6Ho3Mg after structural relaxation.

Lattice parameters (Å, degrees): 9.0017 8.7149 8.7149 115.25 90.00 90.00
Atoms (fractional coordinates):
Dy: 0.6013 0.7120 0.8516
Ho: 0.9389 0.6812 0.9670
Ho: 0.9389 0.0330 0.3188
Dy: 0.1013 0.8516 0.7120
Dy: 0.1527 0.7045 0.2955
Ho: 0.4389 0.3188 0.0330
Dy: 0.7685 0.8296 0.5222
Dy: 0.2685 0.5222 0.8296
Dy: 0.7843 0.0630 0.9370
Mg: 0.5060 0.7612 0.2388
Ho: 0.9250 0.4645 0.5355
Mg: 0.0060 0.2388 0.7612
Dy: 0.6527 0.2955 0.7045
Dy: 0.1013 0.2880 0.1484
Dy: 0.2843 0.9370 0.0630
Ho: 0.4250 0.5355 0.4645
Ho: 0.4389 0.9670 0.6812
Dy: 0.2685 0.1704 0.4778
Dy: 0.7685 0.4778 0.1704
Dy: 0.6013 0.1484 0.2880

The space group is Cmc2_1, No. 36. The calculation puts the mass density at 8.0 Mg/m³. The value obtained for the total energy is -4.163 eV/atom. For the formation energy, the calculation gives 0.13 eV/atom. As for the energy above the most stable polymorph in this dataset: 0.112 eV/atom.

---

13.
The following is a DFT calculation (PBE) of K2AlGa after structural relaxation.

Lattice parameters (Å, degrees): 13.2454 13.2454 9.6615 46.73 46.73 90.00
Atoms (fractional coordinates):
Ga: 0.7500 0.2500 0.5000
Ga: 0.0000 0.0000 0.0000
Al: 0.5000 0.5000 0.0000
K: 0.9111 0.6250 0.2500
K: 0.8750 0.0889 0.7500
K: 0.3750 0.1611 0.7500
Al: 0.2500 0.7500 0.5000
K: 0.8389 0.1250 0.2500

The space group is I-42d, No. 122. The calculation puts the mass density at 1.4 Mg/m³. The value obtained for the total energy is -2.041 eV/atom. For the formation energy, the calculation gives 0.20 eV/atom. As for the energy above the most stable polymorph in this dataset: 0.000 eV/atom.

---

14.
The following is a DFT calculation (PBE) of Ho2MgTl3 after structural relaxation.

Lattice parameters (Å, degrees): 6.1570 6.1570 9.4799 102.01 102.01 111.06
Atoms (fractional coordinates):
Tl: 0.1711 0.1711 0.3422
Ho: 0.2500 0.7500 0.5000
Tl: 0.8275 0.3440 0.1714
Mg: 0.6677 0.6677 0.3354
Ho: 0.2448 0.2448 0.0000
Tl: 0.8289 0.8289 0.6578
Tl: 0.1725 0.6560 0.8286
Mg: 0.3323 0.3323 0.6646
Tl: 0.6560 0.1725 0.8286
Ho: 0.7552 0.7552 0.0000
Tl: 0.3440 0.8275 0.1714
Ho: 0.7500 0.2500 0.5000

The space group is Fmmm, No. 69. The calculation puts the mass density at 10.3 Mg/m³. The value obtained for the total energy is -3.175 eV/atom. For the formation energy, the calculation gives -0.20 eV/atom. As for the energy above the most stable polymorph in this dataset: 0.026 eV/atom.

---

15.
The following is a DFT calculation (PBE) of Na2SrAu9 after structural relaxation.

Lattice parameters (Å, degrees): 5.6130 5.6130 9.9836 73.67 73.67 60.00
Atoms (fractional coordinates):
Au: 0.9172 0.4139 0.2549
Na: 0.8535 0.8535 0.4394
Au: 0.6674 0.6674 0.9979
Au: 0.5000 0.5000 0.5000
Au: 0.0828 0.5861 0.7451
Au: 0.4139 0.9172 0.2549
Au: 0.5861 0.5861 0.7451
Na: 0.1465 0.1465 0.5606
Au: 0.5861 0.0828 0.7451
Au: 0.3326 0.3326 0.0021
Sr: 0.0000 0.0000 0.0000
Au: 0.4139 0.4139 0.2549

The space group is R-3m, No. 166. The calculation puts the mass density at 12.3 Mg/m³. The value obtained for the total energy is -3.216 eV/atom. For the formation energy, the calculation gives -0.40 eV/atom.

---

16.
The following is a DFT calculation (PBE) of Zn2AgBi after structural relaxation.

Lattice parameters (Å, degrees): 4.4190 4.4190 5.6180 66.84 66.84 60.00
Atoms (fractional coordinates):
Bi: 0.5022 0.5022 0.4935
Zn: 0.9919 0.9919 0.0244
Ag: 0.7172 0.7172 0.8485
Zn: 0.2888 0.2888 0.1336

The space group is R3m, No. 160. The calculation puts the mass density at 8.8 Mg/m³. The value obtained for the total energy is -2.207 eV/atom. For the formation energy, the calculation gives 0.11 eV/atom.

---

17.
The following is a DFT calculation (PBE) of NdAlCd11 after structural relaxation.

Lattice parameters (Å, degrees): 5.9111 7.5870 7.6771 81.49 67.36 67.39
Atoms (fractional coordinates):
Cd: 0.0000 0.5000 0.0000
Cd: 0.9913 0.3548 0.6519
Cd: 0.3568 0.6452 0.6519
Cd: 0.0000 0.0000 0.5000
Cd: 0.2913 0.2145 0.2109
Cd: 0.0087 0.6452 0.3481
Cd: 0.4978 0.7855 0.2109
Cd: 0.6432 0.3548 0.3481
Cd: 0.7087 0.7855 0.7891
Nd: 0.0000 0.0000 0.0000
Cd: 0.5000 0.0000 0.5000
Cd: 0.5022 0.2145 0.7891
Al: 0.5000 0.5000 0.0000

The space group is C2/m, No. 12. The calculation puts the mass density at 8.0 Mg/m³. The value obtained for the total energy is -1.522 eV/atom. For the formation energy, the calculation gives -0.09 eV/atom.

---

18.
The following is a DFT calculation (PBE) of Cs4Ac3GaS8 after structural relaxation.

Lattice parameters (Å, degrees): 8.5754 9.5557 8.8066 116.95 119.14 90.00
Atoms (fractional coordinates):
S: 0.1927 0.6686 0.9650
Ac: 0.0000 0.5000 0.5000
Ga: 0.0000 0.5000 0.0000
Ac: 0.5000 0.5000 0.0000
Cs: 0.0000 0.0000 0.5000
S: 0.7266 0.6950 0.4532
S: 0.2277 0.3314 0.0350
S: 0.7478 0.2871 0.4956
Cs: 0.0000 0.0000 0.0000
S: 0.7723 0.6686 0.9650
Ac: 0.5000 0.5000 0.5000
S: 0.2734 0.3050 0.5468
Cs: 0.5000 0.0000 0.5000
S: 0.8073 0.3314 0.0350
Cs: 0.5000 0.0000 0.0000
S: 0.2522 0.7129 0.5044

The space group is C2/m, No. 12. The calculation puts the formation energy (no corrections) at -1.51 eV/atom. The calculation puts the mass density at 4.7 Mg/m³. The value obtained for the total energy is -4.743 eV/atom.

---

19.
The following is a DFT calculation (PBE) of MnRuAuCS after structural relaxation.

Lattice parameters (Å, degrees): 5.7093 2.9191 9.8420 90.00 113.99 90.00
Atoms (fractional coordinates):
Mn: 0.0309 0.5000 0.4902
Ru: 0.8829 0.0000 0.7027
Mn: 0.0309 0.0000 0.9902
C: 0.9847 0.0000 0.3658
S: 0.6609 0.0000 0.0079
Au: 0.3886 0.5000 0.2167
C: 0.9847 0.5000 0.8658
Ru: 0.8829 0.5000 0.2027
S: 0.6609 0.5000 0.5079
Au: 0.3886 0.0000 0.7167

The space group is Cm, No. 8. The calculation puts the formation energy (no corrections) at 0.24 eV/atom. The calculation puts the mass density at 8.8 Mg/m³. The value obtained for the total energy is -6.773 eV/atom. As for the energy above the most stable polymorph in this dataset: 0.107 eV/atom.

---

20.
The following is a DFT calculation (PBE) of NbFeSi after structural relaxation.

Lattice parameters (Å, degrees): 4.9457 4.9457 4.9191 90.00 90.00 136.94
Atoms (fractional coordinates):
Fe: 0.0000 0.0000 0.5000
Si: 0.4164 0.5836 0.2500
Nb: 0.7110 0.2890 0.2500
Nb: 0.2890 0.7110 0.7500
Si: 0.5836 0.4164 0.7500
Fe: 0.0000 0.0000 0.0000

The space group is Cmcm, No. 63. The calculation puts the formation energy (no corrections) at -0.58 eV/atom. The calculation puts the mass density at 7.1 Mg/m³. The value obtained for the total energy is -8.565 eV/atom.

---

21.
The following is a DFT calculation (PBE) of Tb2NdDy4Mg after structural relaxation.

Lattice parameters (Å, degrees): 5.7889 9.4339 5.7862 52.19 90.00 90.00
Atoms (fractional coordinates):
Dy: 0.0000 0.7433 0.7567
Tb: 0.0000 0.0000 0.0000
Dy: 0.0000 0.2567 0.2433
Mg: 0.0000 0.5000 0.5000
Dy: 0.5000 0.2569 0.7430
Dy: 0.5000 0.7431 0.2570
Tb: 0.5000 0.0000 0.5000
Nd: 0.5000 0.5000 0.0000

The space group is P4/mmm, No. 123. The calculation puts the mass density at 7.6 Mg/m³. The value obtained for the total energy is -4.148 eV/atom. For the formation energy, the calculation gives 0.11 eV/atom.

---

22.
The following is a DFT calculation (PBE) of NaZr2AuBr after structural relaxation.

Lattice parameters (Å, degrees): 5.1760 4.7915 5.1760 90.00 90.00 90.00
Atoms (fractional coordinates):
Au: 0.0000 0.5000 0.0000
Zr: 0.0000 0.0000 0.5000
Na: 0.0000 0.0000 0.0000
Br: 0.5000 0.5000 0.5000
Zr: 0.5000 0.0000 0.0000

The space group is P4/mmm, No. 123. The calculation puts the formation energy (no corrections) at 1.14 eV/atom. The calculation puts the mass density at 6.2 Mg/m³. The value obtained for the total energy is -3.532 eV/atom.

---

23.
The following is a DFT calculation (PBE) of NaTeSe2 after structural relaxation.

Lattice parameters (Å, degrees): 6.1089 6.1089 8.7128 69.48 69.48 90.00
Atoms (fractional coordinates):
Se: 0.6629 0.1250 0.2500
Se: 0.0871 0.6250 0.2500
Te: 0.0000 0.0000 0.0000
Te: 0.7500 0.2500 0.5000
Na: 0.2500 0.7500 0.5000
Se: 0.3750 0.3371 0.7500
Se: 0.8750 0.9129 0.7500
Na: 0.5000 0.5000 0.0000

The space group is I-42d, No. 122. The calculation puts the formation energy (no corrections) at -0.28 eV/atom. The calculation puts the mass density at 3.6 Mg/m³. The value obtained for the total energy is -3.140 eV/atom.